Crystalline Ac3NiB7 at its relaxed geometry. Source: the Alexandria database, functional PBE-GGA.

Cell and atoms, written as POSCAR:
```
Ac3NiB7
1.0
3.959 0.000 0.000
0.000 14.096 0.000
-1.826 0.000 6.874
Ac Ni B
6 2 14
direct
0.031 0.250 0.123 Ac
0.127 0.555 0.274 Ac
0.127 0.945 0.274 Ac
0.873 0.055 0.726 Ac
0.873 0.445 0.726 Ac
0.969 0.750 0.877 Ac
0.241 0.250 0.563 Ni
0.759 0.750 0.437 Ni
0.230 0.750 0.369 B
0.333 0.689 0.581 B
0.333 0.811 0.581 B
0.389 0.603 0.736 B
0.389 0.897 0.736 B
0.472 0.549 0.939 B
0.472 0.951 0.939 B
0.528 0.049 0.061 B
0.528 0.451 0.061 B
0.611 0.103 0.264 B
0.611 0.397 0.264 B
0.667 0.189 0.419 B
0.667 0.311 0.419 B
0.770 0.250 0.631 B
```

Output
Formation energy (eV per atom): -0.1696
Total magnetic moment (μB/cell): 0.000
N(E_F) (states/eV/cell): 10.6
Uncorrected energy (eV/atom): -6.065